No. 1
Computed, not measured: an optimized crystal structure of BeNiP2 at the PBE-GGA level of DFT.

It has space group Amm2 (No. 38), with a = 4.055 Å, b = 3.693 Å, c = 7.059 Å, α = 90.00°, β = 90.00° and γ = 90.00°. The distinct sites, in fractional coordinates, are Be at (0.000, 0.000, 0.000), Ni at (0.500, 0.000, 0.161), P at (0.000, 0.000, 0.316) and P at (0.500, 0.000, 0.844).

For the energy of formation from the pure elements, the calculation gives -0.21 eV/atom. The size of the total moment is 0.00 μB per atom. The calculated volume is 13.2 Å³ per atom. The final energy comes out at -5.29 eV/atom. As for the crystal system: orthorhombic.



No. 2
Computed, not measured: an optimized crystal structure of BeNiP2 at the PBE-GGA level of DFT.

It has space group Pmmm (No. 47), with a = 3.328 Å, b = 3.447 Å, c = 4.146 Å, α = 90.00°, β = 90.00° and γ = 90.00°. The distinct sites, in fractional coordinates, are Be at (0.000, 0.000, 0.000), Ni at (0.000, 0.500, 0.500), P at (0.500, 0.000, 0.500) and P at (0.500, 0.500, 0.000).

For the energy of formation from the pure elements, the calculation gives 0.23 eV/atom. The size of the total moment is 0.00 μB per atom. The calculated volume is 11.9 Å³ per atom. The final energy comes out at -4.85 eV/atom. As for the crystal system: orthorhombic.



No. 3
Computed, not measured: an optimized crystal structure of BeNiP2 at the PBE-GGA level of DFT.

It has space group P4/mmm (No. 123), with a = 3.138 Å, b = 3.138 Å, c = 4.832 Å, α = 90.00°, β = 90.00° and γ = 90.00°. The distinct sites, in fractional coordinates, are Be at (0.000, 0.000, 0.000), Ni at (0.000, 0.000, 0.500) and P at (0.500, 0.500, 0.237).

For the energy of formation from the pure elements, the calculation gives 0.17 eV/atom. The size of the total moment is 0.00 μB per atom. The calculated volume is 11.9 Å³ per atom. The final energy comes out at -4.91 eV/atom. As for the crystal system: tetragonal.



No. 4
Computed, not measured: an optimized crystal structure of BeNi7P2 at the PBE-GGA level of DFT.

It has space group I4/mmm (No. 139), with a = 3.601 Å, b = 3.601 Å, c = 17.339 Å, α = 90.00°, β = 90.00° and γ = 90.00°. The distinct sites, in fractional coordinates, are Be at (0.000, 0.000, 0.000), Ni at (0.000, 0.000, 0.500), Ni at (0.000, 0.500, 0.095), Ni at (0.000, 0.500, 0.250) and P at (0.000, 0.000, 0.331).

For the energy of formation from the pure elements, the calculation gives -0.38 eV/atom. The size of the total moment is 0.00 μB per atom. The calculated volume is 11.2 Å³ per atom. The final energy comes out at -5.89 eV/atom. As for the crystal system: tetragonal.



No. 5
Computed, not measured: an optimized crystal structure of BeNiP2 at the PBE-GGA level of DFT.

It has space group R-3m (No. 166, hexagonal axes), with a = 2.9177 Å, b = 2.9177 Å, c = 19.4824 Å, α = 90.00°, β = 90.00° and γ = 120.00°. The distinct sites, in fractional coordinates, are Be at (0.0000, 0.0000, 0.0000), Ni at (0.0000, 0.0000, 0.5000) and P at (0.0000, 0.0000, 0.2511).

For the energy of formation from the pure elements, the calculation gives 0.01 eV/atom. The size of the total moment is 0.00 μB per atom. The calculated volume is 12.0 Å³ per atom. The final energy comes out at -5.07 eV/atom. As for the crystal system: trigonal.



No. 6
Computed, not measured: an optimized crystal structure of Be2NiP at the PBE-GGA level of DFT.

It has space group C2/m (No. 12), with a = 7.799 Å, b = 2.574 Å, c = 3.996 Å, α = 90.00°, β = 95.04° and γ = 90.00°. The distinct sites, in fractional coordinates, are Be at (0.240, 0.000, 0.234), Ni at (0.000, 0.500, 0.000) and P at (0.000, 0.000, 0.500).

For the energy of formation from the pure elements, the calculation gives -0.05 eV/atom. The size of the total moment is 0.00 μB per atom. The calculated volume is 10.0 Å³ per atom. The final energy comes out at -4.71 eV/atom. As for the crystal system: monoclinic.



No. 7
Computed, not measured: an optimized crystal structure of Be2NiP at the PBE-GGA level of DFT.

It has space group Pmm2 (No. 25), with a = 2.669 Å, b = 3.687 Å, c = 4.006 Å, α = 90.00°, β = 90.00° and γ = 90.00°. The distinct sites, in fractional coordinates, are Be at (0.000, 0.000, 0.000), Be at (0.000, 0.500, 0.324), Ni at (0.500, 0.500, 0.814) and P at (0.500, 0.000, 0.479).

For the energy of formation from the pure elements, the calculation gives -0.12 eV/atom. The size of the total moment is 0.00 μB per atom. The calculated volume is 9.9 Å³ per atom. The final energy comes out at -4.78 eV/atom. As for the crystal system: orthorhombic.



No. 8
Computed, not measured: an optimized crystal structure of Be2NiP at the PBE-GGA level of DFT.

It has space group P2/m (No. 10), with a = 2.648 Å, b = 3.555 Å, c = 4.337 Å, α = 90.00°, β = 90.10° and γ = 90.00°. The distinct sites, in fractional coordinates, are Be at (0.001, 0.000, 0.266), Ni at (0.500, 0.500, 0.500) and P at (0.000, 0.500, 0.000).

For the energy of formation from the pure elements, the calculation gives -0.08 eV/atom. The size of the total moment is 0.00 μB per atom. The calculated volume is 10.2 Å³ per atom. The final energy comes out at -4.74 eV/atom. As for the crystal system: monoclinic.



No. 9
Computed, not measured: an optimized crystal structure of BeNiP2 at the PBE-GGA level of DFT.

It has space group C2/m (No. 12), with a = 6.446 Å, b = 2.957 Å, c = 5.352 Å, α = 90.00°, β = 105.84° and γ = 90.00°. The distinct sites, in fractional coordinates, are Be at (0.000, 0.000, 0.000), Ni at (0.000, 0.500, 0.500) and P at (0.248, 0.000, 0.750).

For the energy of formation from the pure elements, the calculation gives 0.01 eV/atom. The size of the total moment is 0.00 μB per atom. The calculated volume is 12.3 Å³ per atom. The final energy comes out at -5.07 eV/atom. As for the crystal system: monoclinic.



No. 10
Computed, not measured: an optimized crystal structure of BeNiP2 at the PBE-GGA level of DFT.

It has space group I-4m2 (No. 119), with a = 3.396 Å, b = 3.396 Å, c = 8.220 Å, α = 90.00°, β = 90.00° and γ = 90.00°. The distinct sites, in fractional coordinates, are Be at (0.000, 0.000, 0.000), Ni at (0.000, 0.500, 0.750), P at (0.000, 0.000, 0.500) and P at (0.000, 0.500, 0.250).

For the energy of formation from the pure elements, the calculation gives 0.24 eV/atom. The size of the total moment is 0.00 μB per atom. The calculated volume is 11.8 Å³ per atom. The final energy comes out at -4.84 eV/atom. As for the crystal system: tetragonal.



No. 11
Computed, not measured: an optimized crystal structure of Be2Ni2P at the PBE-GGA level of DFT.

It has space group I4/mmm (No. 139), with a = 3.342 Å, b = 3.342 Å, c = 9.868 Å, α = 90.00°, β = 90.00° and γ = 90.00°. The distinct sites, in fractional coordinates, are Be at (0.000, 0.000, 0.105), Ni at (0.000, 0.500, 0.250) and P at (0.000, 0.000, 0.500).

For the energy of formation from the pure elements, the calculation gives 0.22 eV/atom. The size of the total moment is 0.00 μB per atom. The calculated volume is 11.0 Å³ per atom. The final energy comes out at -4.67 eV/atom. As for the crystal system: tetragonal.



No. 12
Computed, not measured: an optimized crystal structure of BeNiP2 at the PBE-GGA level of DFT.

It has space group Cmmm (No. 65), with a = 3.266 Å, b = 4.231 Å, c = 6.791 Å, α = 90.00°, β = 90.00° and γ = 90.00°. The distinct sites, in fractional coordinates, are Be at (0.000, 0.000, 0.000), Ni at (0.000, 0.000, 0.500) and P at (0.000, 0.500, 0.243).

For the energy of formation from the pure elements, the calculation gives 0.21 eV/atom. The size of the total moment is 0.00 μB per atom. The calculated volume is 11.7 Å³ per atom. The final energy comes out at -4.87 eV/atom. As for the crystal system: orthorhombic.



No. 13
Computed, not measured: an optimized crystal structure of BeNiP2 at the PBE-GGA level of DFT.

It has space group P4mm (No. 99), with a = 2.781 Å, b = 2.781 Å, c = 6.973 Å, α = 90.00°, β = 90.00° and γ = 90.00°. The distinct sites, in fractional coordinates, are Be at (0.000, 0.000, 0.000), Ni at (0.500, 0.500, 0.166), P at (0.000, 0.000, 0.355) and P at (0.500, 0.500, 0.809).

For the energy of formation from the pure elements, the calculation gives 0.00 eV/atom. The size of the total moment is 0.00 μB per atom. The calculated volume is 13.5 Å³ per atom. The final energy comes out at -5.08 eV/atom. As for the crystal system: tetragonal.



No. 14
Computed, not measured: an optimized crystal structure of BeNiP2 at the PBE-GGA level of DFT.

It has space group P2/m (No. 10), with a = 3.648 Å, b = 3.075 Å, c = 4.563 Å, α = 90.00°, β = 109.86° and γ = 90.00°. The distinct sites, in fractional coordinates, are Be at (0.000, 0.000, 0.000), Ni at (0.500, 0.500, 0.500), P at (0.000, 0.000, 0.500) and P at (0.500, 0.500, 0.000).

For the energy of formation from the pure elements, the calculation gives 0.02 eV/atom. The size of the total moment is 0.00 μB per atom. The calculated volume is 12.0 Å³ per atom. The final energy comes out at -5.06 eV/atom. As for the crystal system: monoclinic.